# 1
First-principles (PBE-GGA) data for FeSnRh3 after structural relaxation, as listed in Alexandria. Values from VASP.

```
&SYSTEM
  ibrav = 0, nat = 5, ntyp = 3
/
ATOMIC_SPECIES
Rh 102.91 Rh.upf
Sn 118.71 Sn.upf
Fe 55.84 Fe.upf
CELL_PARAMETERS angstrom
4.795 0.000 0.000
0.000 4.795 0.000
0.000 0.000 4.795
ATOMIC_POSITIONS crystal
Rh 0.000 0.500 0.000
Rh 0.000 0.000 0.500
Rh 0.500 0.000 0.000
Sn 0.000 0.000 0.000
Fe 0.500 0.500 0.500
```

Properties
Crystal system   cubic
Theoretical density   7.3 g cm⁻³
Space-group type   No. 221
Energy of formation   1.329 eV/atom
Fermi-level density of states   2.670 states/eV/atom



# 2
First-principles (PBE-GGA) data for Fe3SnRh after structural relaxation, as listed in Alexandria. Values from VASP.

```
&SYSTEM
  ibrav = 0, nat = 5, ntyp = 3
/
ATOMIC_SPECIES
Rh 102.91 Rh.upf
Sn 118.71 Sn.upf
Fe 55.84 Fe.upf
CELL_PARAMETERS angstrom
-3.267 -3.096 1.104
-0.152 -1.412 -4.411
3.283 -3.146 0.894
ATOMIC_POSITIONS crystal
Rh 0.000 0.000 0.000
Sn 0.500 0.500 0.500
Fe 0.000 0.500 0.000
Fe 0.000 0.000 0.500
Fe 0.500 0.000 0.000
```

Properties
Crystal system   cubic
Theoretical density   6.5 g cm⁻³
Energy above the most stable polymorph in this dataset   0.0 meV/atom
Space-group type   No. 221
Energy of formation   0.962 eV/atom
Fermi-level density of states   1.130 states/eV/atom



# 3
First-principles (PBE-GGA) data for Fe2SnRh after structural relaxation, as listed in Alexandria. Values from VASP.

```
&SYSTEM
  ibrav = 0, nat = 8, ntyp = 3
/
ATOMIC_SPECIES
Rh 102.91 Rh.upf
Sn 118.71 Sn.upf
Fe 55.84 Fe.upf
CELL_PARAMETERS angstrom
3.716 0.000 0.000
0.000 3.716 0.000
1.858 1.858 9.373
ATOMIC_POSITIONS crystal
Rh 0.500 0.500 0.000
Rh 0.250 0.750 0.500
Sn 0.000 0.000 0.000
Sn 0.750 0.250 0.500
Fe 0.623 0.125 0.250
Fe 0.127 0.625 0.250
Fe 0.375 0.377 0.750
Fe 0.875 0.873 0.750
```

Properties
Crystal system   tetragonal
Theoretical density   8.6 g cm⁻³
Space-group type   No. 122
Energy of formation   0.303 eV/atom
Fermi-level density of states   1.379 states/eV/atom



# 4
First-principles (PBE-GGA) data for FeSn6Rh3 after structural relaxation, as listed in Alexandria. Values from VASP.

```
&SYSTEM
  ibrav = 0, nat = 20, ntyp = 3
/
ATOMIC_SPECIES
Fe 55.84 Fe.upf
Sn 118.71 Sn.upf
Rh 102.91 Rh.upf
CELL_PARAMETERS angstrom
6.975 0.000 -0.008
0.000 6.627 0.000
0.075 0.000 8.768
ATOMIC_POSITIONS crystal
Fe 0.500 0.500 0.500
Fe 0.000 0.000 0.000
Sn 0.663 0.150 0.931
Sn 0.651 0.159 0.568
Sn 0.683 0.509 0.255
Sn 0.317 0.491 0.745
Sn 0.349 0.841 0.432
Sn 0.337 0.850 0.069
Sn 0.163 0.350 0.431
Sn 0.151 0.341 0.068
Sn 0.183 0.991 0.755
Sn 0.817 0.009 0.245
Sn 0.849 0.659 0.932
Sn 0.837 0.650 0.569
Rh 0.533 0.836 0.748
Rh 0.500 0.500 0.000
Rh 0.467 0.164 0.252
Rh 0.033 0.664 0.248
Rh 0.000 0.000 0.500
Rh 0.967 0.336 0.752
```

Properties
Crystal system   monoclinic
Theoretical density   8.8 g cm⁻³
Space-group type   No. 14
Energy of formation   -0.212 eV/atom
Fermi-level density of states   0.482 states/eV/atom



# 5
First-principles (PBE-GGA) data for Fe3SnRh4 after structural relaxation, as listed in Alexandria. Values from VASP.

```
&SYSTEM
  ibrav = 0, nat = 16, ntyp = 3
/
ATOMIC_SPECIES
Rh 102.91 Rh.upf
Fe 55.84 Fe.upf
Sn 118.71 Sn.upf
CELL_PARAMETERS angstrom
4.418 0.000 0.000
0.000 5.973 0.000
0.000 0.000 8.761
ATOMIC_POSITIONS crystal
Rh 0.500 0.761 0.000
Rh 0.500 0.761 0.500
Rh 0.500 0.239 0.000
Rh 0.500 0.239 0.500
Rh 0.048 0.759 0.750
Rh 0.952 0.759 0.250
Rh 0.952 0.241 0.250
Rh 0.048 0.241 0.750
Fe 0.000 0.000 0.000
Fe 0.000 0.000 0.500
Fe 0.547 0.000 0.750
Fe 0.453 0.000 0.250
Fe 0.538 0.500 0.750
Fe 0.462 0.500 0.250
Sn 0.000 0.500 0.000
Sn 0.000 0.500 0.500
```

Properties
Crystal system   orthorhombic
Theoretical density   10.0 g cm⁻³
Space-group type   No. 51
Energy of formation   -0.148 eV/atom
Fermi-level density of states   1.035 states/eV/atom



# 6
First-principles (PBE-GGA) data for FeSn6Rh after structural relaxation, as listed in Alexandria. Values from VASP.

```
&SYSTEM
  ibrav = 0, nat = 8, ntyp = 3
/
ATOMIC_SPECIES
Fe 55.84 Fe.upf
Sn 118.71 Sn.upf
Rh 102.91 Rh.upf
CELL_PARAMETERS angstrom
5.853 -0.081 -0.104
-2.252 5.402 -0.104
-0.768 -1.135 6.423
ATOMIC_POSITIONS crystal
Fe 0.500 0.500 0.500
Sn 0.214 0.214 0.704
Sn 0.455 0.104 0.237
Sn 0.786 0.786 0.296
Sn 0.896 0.545 0.763
Sn 0.545 0.896 0.763
Sn 0.104 0.455 0.237
Rh 0.000 0.000 0.000
```

Properties
Crystal system   monoclinic
Theoretical density   7.2 g cm⁻³
Space-group type   No. 12
Energy of formation   0.089 eV/atom
Fermi-level density of states   0.510 states/eV/atom



# 7
First-principles (PBE-GGA) data for Fe2Sn2Rh after structural relaxation, as listed in Alexandria. Values from VASP.

```
&SYSTEM
  ibrav = 0, nat = 10, ntyp = 3
/
ATOMIC_SPECIES
Rh 102.91 Rh.upf
Sn 118.71 Sn.upf
Fe 55.84 Fe.upf
CELL_PARAMETERS angstrom
7.155 0.000 0.000
0.000 7.155 0.000
0.000 0.000 3.146
ATOMIC_POSITIONS crystal
Rh 0.000 0.000 0.000
Rh 0.500 0.500 0.000
Sn 0.184 0.684 0.500
Sn 0.684 0.816 0.500
Sn 0.816 0.316 0.500
Sn 0.316 0.184 0.500
Fe 0.387 0.887 0.000
Fe 0.887 0.613 0.000
Fe 0.613 0.113 0.000
Fe 0.113 0.387 0.000
```

Properties
Crystal system   tetragonal
Theoretical density   9.3 g cm⁻³
Space-group type   No. 127
Energy of formation   0.160 eV/atom
Fermi-level density of states   0.801 states/eV/atom



# 8
First-principles (PBE-GGA) data for Fe2SnRh5 after structural relaxation, as listed in Alexandria. Values from VASP.

```
&SYSTEM
  ibrav = 0, nat = 16, ntyp = 3
/
ATOMIC_SPECIES
Fe 55.84 Fe.upf
Sn 118.71 Sn.upf
Rh 102.91 Rh.upf
CELL_PARAMETERS angstrom
-0.916 -2.312 3.125
-2.957 -3.195 -3.230
8.716 -6.094 -1.953
ATOMIC_POSITIONS crystal
Fe 0.500 0.300 0.362
Fe 0.500 0.700 0.638
Fe 0.500 0.200 0.862
Fe 0.500 0.800 0.138
Sn 0.000 0.000 0.500
Sn 0.000 0.500 0.000
Rh 0.500 0.278 0.122
Rh 0.500 0.722 0.878
Rh 0.500 0.778 0.378
Rh 0.500 0.222 0.622
Rh 0.000 0.961 0.752
Rh 0.000 0.039 0.248
Rh 0.000 0.461 0.748
Rh 0.000 0.539 0.252
Rh 0.000 0.500 0.500
Rh 0.000 0.000 0.000
```

Properties
Crystal system   orthorhombic
Theoretical density   10.6 g cm⁻³
Space-group type   No. 55
Energy of formation   -0.146 eV/atom
Fermi-level density of states   0.788 states/eV/atom



# 9
First-principles (PBE-GGA) data for Fe2SnRh2 after structural relaxation, as listed in Alexandria. Values from VASP.

```
&SYSTEM
  ibrav = 0, nat = 10, ntyp = 3
/
ATOMIC_SPECIES
Rh 102.91 Rh.upf
Sn 118.71 Sn.upf
Fe 55.84 Fe.upf
CELL_PARAMETERS angstrom
7.239 0.000 0.000
0.000 7.239 0.000
0.000 0.000 2.911
ATOMIC_POSITIONS crystal
Rh 0.175 0.675 0.500
Rh 0.675 0.825 0.500
Rh 0.825 0.325 0.500
Rh 0.325 0.175 0.500
Sn 0.000 0.000 0.000
Sn 0.500 0.500 0.000
Fe 0.383 0.883 0.000
Fe 0.883 0.617 0.000
Fe 0.617 0.117 0.000
Fe 0.117 0.383 0.000
```

Properties
Crystal system   tetragonal
Theoretical density   9.5 g cm⁻³
Space-group type   No. 127
Energy of formation   0.081 eV/atom
Fermi-level density of states   1.137 states/eV/atom



# 10
First-principles (PBE-GGA) data for FeSn3Rh after structural relaxation, as listed in Alexandria. Values from VASP.

```
&SYSTEM
  ibrav = 0, nat = 5, ntyp = 3
/
ATOMIC_SPECIES
Rh 102.91 Rh.upf
Sn 118.71 Sn.upf
Fe 55.84 Fe.upf
CELL_PARAMETERS angstrom
-4.119 -0.841 -2.322
0.131 -4.583 1.427
-2.466 1.160 3.954
ATOMIC_POSITIONS crystal
Rh 0.500 0.500 0.500
Sn 0.000 0.500 0.000
Sn 0.000 0.000 0.500
Sn 0.500 0.000 0.000
Fe 0.000 0.000 0.000
```

Properties
Crystal system   cubic
Theoretical density   7.7 g cm⁻³
Energy above the most stable polymorph in this dataset   0.0 meV/atom
Space-group type   No. 221
Energy of formation   0.452 eV/atom
Fermi-level density of states   0.858 states/eV/atom



# 11
First-principles (PBE-GGA) data for FeTc2SnRh after structural relaxation, as listed in Alexandria. Values from VASP.

```
&SYSTEM
  ibrav = 0, nat = 5, ntyp = 4
/
ATOMIC_SPECIES
Fe 55.84 Fe.upf
Rh 102.91 Rh.upf
Sn 118.71 Sn.upf
Tc 98.00 Tc.upf
CELL_PARAMETERS angstrom
-3.359 -2.971 -1.878
-0.430 -2.091 4.079
-3.485 3.151 1.248
ATOMIC_POSITIONS crystal
Fe 0.000 0.500 0.000
Rh 0.500 0.500 0.500
Sn 0.000 0.000 0.000
Tc 0.000 0.000 0.500
Tc 0.500 0.000 0.000
```

Properties
Crystal system   tetragonal
Theoretical density   7.2 g cm⁻³
Space-group type   No. 123
Energy of formation   2.131 eV/atom
Fermi-level density of states   2.004 states/eV/atom



# 12
First-principles (PBE-GGA) data for UFeSnRh after structural relaxation, as listed in Alexandria. Values from VASP.

```
&SYSTEM
  ibrav = 0, nat = 4, ntyp = 4
/
ATOMIC_SPECIES
Rh 102.91 Rh.upf
U 238.03 U.upf
Sn 118.71 Sn.upf
Fe 55.84 Fe.upf
CELL_PARAMETERS angstrom
4.654 0.000 0.000
2.327 4.030 0.000
2.327 1.343 3.800
ATOMIC_POSITIONS crystal
Rh 0.750 0.750 0.750
U 0.000 0.000 0.000
Sn 0.500 0.500 0.500
Fe 0.250 0.250 0.250
```

Properties
Crystal system   cubic
Theoretical density   12.0 g cm⁻³
Space-group type   No. 216
Energy of formation   -0.168 eV/atom
Fermi-level density of states   1.175 states/eV/atom



# 13
First-principles (PBE-GGA) data for SrFe2Rh after structural relaxation, as listed in Alexandria. Values from VASP.

```
&SYSTEM
  ibrav = 0, nat = 4, ntyp = 3
/
ATOMIC_SPECIES
Fe 55.84 Fe.upf
Rh 102.91 Rh.upf
Sr 87.62 Sr.upf
CELL_PARAMETERS angstrom
3.313 0.000 0.000
0.000 4.497 0.000
0.000 0.000 4.688
ATOMIC_POSITIONS crystal
Fe 0.000 0.000 0.000
Fe 0.500 0.500 0.000
Rh 0.500 0.000 0.500
Sr 0.000 0.500 0.500
```

Properties
Crystal system   orthorhombic
Theoretical density   7.2 g cm⁻³
Space-group type   No. 47
Energy of formation   0.592 eV/atom
Fermi-level density of states   0.897 states/eV/atom